No. 1
DFT (PBE-GGA) results for a relaxed structure of LaSi4Rh4.

Calculated values
Formation energy (no corrections) ... -830.0 meV/atom
Volume ... 17.3 Å³/atom
Crystal system ... tetragonal
Size of the total moment ... 0.0 μB per cell

```
data_LaSi4Rh4
_chemical_formula_sum 'La2 Si8 Rh8'
_space_group_name_H-M_alt 'I 4/m'
_space_group_IT_number 87
_space_group_name_Hall '-I 4'
_cell_length_a 8.5832
_cell_length_b 8.5832
_cell_length_c 4.2149
_cell_angle_alpha 90.00
_cell_angle_beta 90.00
_cell_angle_gamma 90.00
loop_
_atom_site_label
_atom_site_type_symbol
_atom_site_fract_x
_atom_site_fract_y
_atom_site_fract_z
_atom_site_occupancy
La1 La 0.0000 0.0000 0.0000 1
Si1 Si 0.1636 0.2809 0.5000 1
Rh1 Rh 0.0941 0.6432 0.5000 1
```

No. 2
DFT (PBE-GGA) results for a relaxed structure of Ac4PtRhSe2.

Calculated values
Formation energy (no corrections) ... -1391.2 meV/atom
Volume ... 31.5 Å³/atom
Crystal system ... monoclinic
Size of the total moment ... 0.0 μB per cell

```
data_Ac4PtRhSe2
_chemical_formula_sum 'Ac4 Pt1 Rh1 Se2'
_space_group_name_H-M_alt 'P 1 2/m 1'
_space_group_IT_number 10
_cell_length_a 7.5077
_cell_length_b 4.3425
_cell_length_c 8.1362
_cell_angle_alpha 90.00
_cell_angle_beta 108.01
_cell_angle_gamma 90.00
loop_
_space_group_symop_operation_xyz
'x,y,z'
'-x,-y,-z'
'-x,y,-z'
'x,-y,z'
loop_
_atom_site_label
_atom_site_type_symbol
_atom_site_fract_x
_atom_site_fract_y
_atom_site_fract_z
_atom_site_occupancy
Ac1 Ac 0.2380 0.0000 0.2259 1
Ac2 Ac 0.2540 0.5000 0.7736 1
Pt1 Pt 0.5000 0.0000 0.0000 1
Rh1 Rh 0.0000 0.5000 0.0000 1
Se1 Se 0.0000 0.0000 0.5000 1
Se2 Se 0.5000 0.5000 0.5000 1
```